# 1
VASP calculation (GGA-PBEsol) on CuTe after structural relaxation.

Computed properties:
ΔE_f (raw): 0.514 eV per atom
Crystal system: hexagonal

abc: 6.4738 6.4738 3.8731
angles: 90.00 90.00 120.00
Space group P6/mmm (No. 191)
Asymmetric unit:
Cu1 0.0000 0.0000 0.0000 [1 per cell]
Cu2 0.3333 0.6667 0.5000 [2 per cell]
Te1 0.0000 0.5000 0.0000 [3 per cell]



# 2
VASP calculation (GGA-PBEsol) on AlRe3As after structural relaxation.

Computed properties:
E_form: 1.576 eV/atom
Crystal system: cubic

abc: 4.481 4.481 4.481
angles: 90.00 90.00 90.00
Space group Pm-3m (No. 221)
Asymmetric unit:
Al1 0.000 0.000 0.000 [1 per cell]
Re1 0.000 0.500 0.500 [3 per cell]
As1 0.500 0.500 0.500 [1 per cell]



# 3
VASP calculation (GGA-PBEsol) on TaHgAs2 after structural relaxation.

Computed properties:
E_form: 0.262 eV/atom
Crystal system: tetragonal

abc: 4.555 4.555 3.429
angles: 90.00 90.00 90.00
Space group P4/mmm (No. 123)
Asymmetric unit:
Ta1 0.000 0.000 0.000 [1 per cell]
Hg1 0.500 0.500 0.000 [1 per cell]
As1 0.000 0.500 0.500 [2 per cell]



# 4
VASP calculation (GGA-PBEsol) on KZnRu2 after structural relaxation.

Computed properties:
E_form: 0.759 eV/atom
Crystal system: orthorhombic

abc: 2.839 4.541 9.873
angles: 90.00 90.00 90.00
Space group Cmmm (No. 65)
Asymmetric unit:
K1 0.000 0.000 0.000 [2 per cell]
Zn1 0.000 0.000 0.500 [2 per cell]
Ru1 0.000 0.500 0.285 [4 per cell]



# 5
VASP calculation (GGA-PBEsol) on Li2TlPt after structural relaxation.

Computed properties:
E_form: -0.334 eV/atom
Crystal system: orthorhombic

abc: 2.914 4.528 4.805
angles: 90.00 90.00 90.00
Space group Pmm2 (No. 25)
Asymmetric unit:
Li1 0.000 0.000 0.000 [1 per cell]
Li2 0.000 0.500 0.337 [1 per cell]
Tl1 0.500 0.000 0.508 [1 per cell]
Pt1 0.500 0.500 0.863 [1 per cell]



# 6
VASP calculation (GGA-PBEsol) on BSbTe2Rh after structural relaxation.

Computed properties:
ΔE_f (raw): 0.867 eV per atom
ΔE to the lowest computed polymorph: 0.0 meV per atom
Crystal system: tetragonal

abc: 4.678 4.678 4.568
angles: 90.00 90.00 90.00
Space group P4/mmm (No. 123)
Asymmetric unit:
B1 0.000 0.000 0.000 [1 per cell]
Sb1 0.000 0.000 0.500 [1 per cell]
Te1 0.000 0.500 0.000 [2 per cell]
Rh1 0.500 0.500 0.500 [1 per cell]



# 7
VASP calculation (GGA-PBEsol) on Li3Ti2CrO6 after structural relaxation.

Computed properties:
ΔE_f (raw): -2.476 eV per atom
Crystal system: monoclinic

abc: 12.809 2.899 5.832
angles: 90.00 107.69 90.00
Space group C2/m (No. 12)
Asymmetric unit:
Li1 0.000 0.000 0.000 [2 per cell]
Li2 0.166 0.500 0.322 [4 per cell]
Ti1 0.155 0.500 0.807 [4 per cell]
Cr1 0.000 0.000 0.500 [2 per cell]
O1 0.003 0.500 0.262 [4 per cell]
O2 0.167 0.000 0.583 [4 per cell]
O3 0.172 0.000 0.060 [4 per cell]



# 8
VASP calculation (GGA-PBEsol) on Mg2AlZn after structural relaxation.

Computed properties:
E_form: 0.030 eV/atom
Crystal system: orthorhombic

abc: 3.128 3.967 5.983
angles: 90.00 90.00 90.00
Space group Pmm2 (No. 25)
Asymmetric unit:
Mg1 0.000 0.000 0.000 [1 per cell]
Mg2 0.500 0.500 0.281 [1 per cell]
Al1 0.500 0.500 0.750 [1 per cell]
Zn1 0.000 0.000 0.526 [1 per cell]



# 9
VASP calculation (GGA-PBEsol) on NbBi4BrO8 after structural relaxation.

Computed properties:
ΔE_f (raw): -1.603 eV per atom
Crystal system: orthorhombic

abc: 5.511 5.557 28.952
angles: 90.00 90.00 90.00
Space group Pbcn (No. 60)
Asymmetric unit:
Nb1 0.000 0.008 0.250 [4 per cell]
Bi1 0.008 0.007 0.570 [8 per cell]
Bi2 0.017 0.453 0.341 [8 per cell]
Br1 0.000 0.500 0.000 [4 per cell]
O1 0.105 0.076 0.314 [8 per cell]
O2 0.247 0.297 0.233 [8 per cell]
O3 0.249 0.243 0.109 [8 per cell]
O4 0.249 0.254 0.393 [8 per cell]



# 10
VASP calculation (GGA-PBEsol) on SiNi after structural relaxation.

Computed properties:
ΔE_f (raw): -0.503 eV per atom
Crystal system: cubic

abc: 4.465 4.465 4.465
angles: 90.00 90.00 90.00
Space group P2_13 (No. 198)
Asymmetric unit:
Si1 0.096 0.096 0.096 [4 per cell]
Ni1 0.101 0.601 0.899 [4 per cell]



# 11
VASP calculation (GGA-PBEsol) on ScAuSN2 after structural relaxation.

Computed properties:
ΔE_f (raw): 0.829 eV per atom
Crystal system: tetragonal

abc: 3.958 3.958 4.808
angles: 90.00 90.00 90.00
Space group P4/mmm (No. 123)
Asymmetric unit:
Sc1 0.000 0.000 0.000 [1 per cell]
Au1 0.500 0.500 0.500 [1 per cell]
S1 0.500 0.500 0.000 [1 per cell]
N1 0.000 0.500 0.500 [2 per cell]



# 12
VASP calculation (GGA-PBEsol) on Ba2ZnIr after structural relaxation.

Computed properties:
E_form: -0.128 eV/atom
Crystal system: orthorhombic

abc: 4.456 4.634 11.672
angles: 90.00 90.00 90.00
Space group Amm2 (No. 38)
Asymmetric unit:
Ba1 0.000 0.000 0.000 [2 per cell]
Ba2 0.500 0.000 0.283 [2 per cell]
Zn1 0.500 0.000 0.591 [2 per cell]
Ir1 0.000 0.000 0.692 [2 per cell]



Volume in Å³/cell, matching the order above: 140.6 90.0 71.1 127.3 63.4 100.0 206.3 74.2 886.7 89.0 75.3 241.0